# 1
Zr2TaAg: PBEsol geometry, SCAN.

POSCAR file:
```
Zr2TaAg
1.0
-2.148 2.115 0.881
-2.495 -2.508 -0.062
1.319 -1.479 6.771
Zr Ag Ta
2 1 1
Direct
0.000 0.000 0.743
0.000 0.000 0.257
0.500 0.500 0.000
0.500 0.500 0.500
```

Space group = No. 47
Calculated formation energy = -15.1 meV per atom
Energy relative to the lowest polymorph listed for this composition = 0 meV per atom
V = 78 Å³ per cell
DFT total energy = -39.85 eV/atom
DOS at the Fermi energy = 3.5 states/eV/cell

=====

# 2
ZrTaAg2: PBEsol geometry, SCAN.

POSCAR file:
```
ZrTaAg2
1.0
-0.146 2.441 1.201
-4.607 -0.136 -0.283
-0.166 -3.735 4.496
Ag Ta Zr
2 1 1
Direct
0.813 0.000 0.999
0.941 0.500 0.260
0.546 0.000 0.467
0.200 0.500 0.774
```

Space group = No. 38
Calculated formation energy = 201.9 meV per atom
Energy relative to the lowest polymorph listed for this composition = 137 meV per atom
V = 72 Å³ per cell
DFT total energy = -39.80 eV/atom
DOS at the Fermi energy = 3.4 states/eV/cell